! HfZrN3 PBE relaxed; values from VASP
&SYSTEM
  ibrav = 0, nat = 10, ntyp = 3
/
ATOMIC_SPECIES
Hf 178.49 Hf.upf
Zr 91.22 Zr.upf
N 14.01 N.upf
CELL_PARAMETERS angstrom
6.2007 -1.6390 0.0000
6.2007 1.6390 0.0000
-2.0752 0.0000 6.6135
ATOMIC_POSITIONS crystal
Hf 0.1453 0.1453 0.3142
Hf 0.8547 0.8547 0.6858
Zr 0.3638 0.3638 0.1793
Zr 0.6362 0.6362 0.8207
N 0.0293 0.0293 0.8039
N 0.2873 0.2873 0.8515
N 0.3407 0.3407 0.4846
N 0.6593 0.6593 0.5154
N 0.7127 0.7127 0.1485
N 0.9707 0.9707 0.1961
! - E_form (uncorrected): -1.130 eV per atom
! - SG: C2/m, No. 12